(1)
Material: ScSbMo2
Method: DFT, meta-GGA SCAN
State: single point on PBEsol structure

Geometry as POSCAR:
```
ScSbMo2
1.0
1.562 0.902 8.716
-1.562 0.902 8.716
0.000 -1.803 8.716
Sc Sb Mo
1 1 2
direct
0.000 0.000 0.000
0.500 0.500 0.500
0.246 0.246 0.246
0.754 0.754 0.754
```

crystal system = trigonal
space-group type = R-3m, No. 166
formation energy from raw total energies = 449 meV per atom



(2)
Material: Sc2SbMo
Method: DFT, meta-GGA SCAN
State: single point on PBEsol structure

Geometry as POSCAR:
```
Sc2SbMo
1.0
1.843 -2.505 0.000
1.843 2.505 0.000
0.000 0.000 8.923
Sc Sb Mo
2 1 1
direct
0.000 0.000 0.000
0.500 0.500 0.292
0.500 0.500 0.746
0.000 0.000 0.523
```

crystal system = orthorhombic
space-group type = Cmm2, No. 35
energy relative to the lowest polymorph listed for this composition = 0.341 eV/atom
formation energy from raw total energies = 107 meV per atom



(3)
Material: Sc2SbMo
Method: DFT, meta-GGA SCAN
State: single point on PBEsol structure

Geometry as POSCAR:
```
Sc2SbMo
1.0
5.091 -1.876 0.000
5.091 1.876 0.000
-1.904 0.000 4.033
Sc Sb Mo
2 1 1
direct
0.000 0.000 0.000
0.242 0.242 0.751
0.482 0.482 0.480
0.745 0.745 0.260
```

crystal system = monoclinic
space-group type = Cm, No. 8
energy relative to the lowest polymorph listed for this composition = 0.000 eV/atom
formation energy from raw total energies = -234 meV per atom



(4)
Material: Sc2SbMo
Method: DFT, meta-GGA SCAN
State: single point on PBEsol structure

Geometry as POSCAR:
```
Sc2SbMo
1.0
0.000 3.336 3.336
3.336 0.000 3.336
3.336 3.336 0.000
Sc Sb Mo
2 1 1
direct
0.000 0.000 0.000
0.250 0.250 0.250
0.500 0.500 0.500
0.750 0.750 0.750
```

crystal system = cubic
space-group type = F-43m, No. 216
energy relative to the lowest polymorph listed for this composition = 0.056 eV/atom
formation energy from raw total energies = -178 meV per atom



(5)
Material: SbMo2Se
Method: DFT, meta-GGA SCAN
State: single point on PBEsol structure

Geometry as POSCAR:
```
SbMo2Se
1.0
3.097 0.000 0.000
0.000 3.097 0.000
0.000 0.000 7.996
Sb Mo Se
1 2 1
direct
0.000 0.000 0.000
0.000 0.000 0.553
0.500 0.500 0.764
0.500 0.500 0.386
```

crystal system = tetragonal
space-group type = P4mm, No. 99
formation energy from raw total energies = 70 meV per atom



(6)
Material: SiSbMo2
Method: DFT, meta-GGA SCAN
State: single point on PBEsol structure

Geometry as POSCAR:
```
SiSbMo2
1.0
4.586 -1.592 0.000
4.586 1.592 0.000
-1.372 0.000 4.403
Si Sb Mo
1 1 2
direct
0.000 0.000 0.000
0.238 0.238 0.640
0.489 0.489 0.468
0.733 0.733 0.122
```

crystal system = monoclinic
space-group type = Cm, No. 8
energy relative to the lowest polymorph listed for this composition = 0.000 eV/atom
formation energy from raw total energies = 127 meV per atom



> Which value of formation energy from raw total energies does entry 2 give?

107 meV per atom